ZrZnCu2, relaxed, DFT GGA-PBE; space-group type = P6_3/mmc (194)
1.0
0.321 0.202 4.441
-3.938 -0.835 -1.914
1.395 -7.090 0.222
Cu Zn Zr
4 2 2
direct
0.667 0.333 0.091 Cu
0.667 0.333 0.409 Cu
0.333 0.667 0.591 Cu
0.333 0.667 0.909 Cu
0.333 0.667 0.250 Zn
0.667 0.333 0.750 Zn
0.000 0.000 0.000 Zr
0.000 0.000 0.500 Zr

=====

ZrZnCu2, relaxed, DFT GGA-PBE; space-group type = P4/mmm (123)
1.0
3.026 0.000 0.000
0.000 3.026 0.000
0.000 0.000 6.594
Cu Zn Zr
2 1 1
direct
0.500 0.500 0.214 Cu
0.500 0.500 0.786 Cu
0.000 0.000 0.000 Zn
0.000 0.000 0.500 Zr

=====

ZrZn2Cu, relaxed, DFT GGA-PBE; space-group type = F-43m (216)
1.0
0.000 3.147 3.147
3.147 0.000 3.147
3.147 3.147 0.000
Cu Zn Zr
1 2 1
direct
0.750 0.750 0.750 Cu
0.000 0.000 0.000 Zn
0.250 0.250 0.250 Zn
0.500 0.500 0.500 Zr

=====

ZrZnCu2, relaxed, DFT GGA-PBE; space-group type = Pnma (62)
1.0
-2.288 1.676 4.029
-2.416 -5.912 1.087
6.156 -1.740 4.220
Cu Zn Zr
8 4 4
direct
0.629 0.548 0.177 Cu
0.629 0.952 0.177 Cu
0.129 0.048 0.323 Cu
0.129 0.452 0.323 Cu
0.871 0.548 0.677 Cu
0.871 0.952 0.677 Cu
0.371 0.048 0.823 Cu
0.371 0.452 0.823 Cu
0.344 0.250 0.100 Zn
0.844 0.750 0.400 Zn
0.156 0.250 0.600 Zn
0.656 0.750 0.900 Zn
0.155 0.750 0.067 Zr
0.655 0.250 0.433 Zr
0.345 0.750 0.567 Zr
0.845 0.250 0.933 Zr

=====

ZrZn20Cu2, relaxed, DFT GGA-PBE; space-group type = Fd-3m (227)
1.0
0.000 6.974 6.974
6.974 0.000 6.974
6.974 6.974 0.000
Cu Zn Zr
4 40 2
direct
0.125 0.125 0.125 Cu
0.625 0.125 0.125 Cu
0.125 0.625 0.125 Cu
0.125 0.125 0.625 Cu
0.388 0.112 0.112 Zn
0.112 0.388 0.112 Zn
0.388 0.388 0.112 Zn
0.625 0.625 0.125 Zn
0.862 0.138 0.138 Zn
0.138 0.862 0.138 Zn
0.862 0.862 0.138 Zn
0.568 0.304 0.304 Zn
0.825 0.304 0.304 Zn
0.304 0.568 0.304 Zn
0.825 0.568 0.304 Zn
0.304 0.825 0.304 Zn
0.568 0.825 0.304 Zn
0.112 0.112 0.388 Zn
0.388 0.112 0.388 Zn
0.112 0.388 0.388 Zn
0.946 0.682 0.425 Zn
0.682 0.946 0.425 Zn
0.946 0.946 0.425 Zn
0.304 0.304 0.568 Zn
0.825 0.304 0.568 Zn
0.304 0.825 0.568 Zn
0.625 0.125 0.625 Zn
0.125 0.625 0.625 Zn
0.625 0.625 0.625 Zn
0.946 0.425 0.682 Zn
0.425 0.946 0.682 Zn
0.946 0.946 0.682 Zn
0.304 0.304 0.825 Zn
0.568 0.304 0.825 Zn
0.304 0.568 0.825 Zn
0.138 0.138 0.862 Zn
0.862 0.138 0.862 Zn
0.138 0.862 0.862 Zn
0.682 0.425 0.946 Zn
0.946 0.425 0.946 Zn
0.425 0.682 0.946 Zn
0.946 0.682 0.946 Zn
0.425 0.946 0.946 Zn
0.682 0.946 0.946 Zn
0.500 0.500 0.500 Zr
0.750 0.750 0.750 Zr

=====

ZrZnCu2, relaxed, DFT GGA-PBE; space-group type = P6_3/mmc (194)
1.0
2.260 -3.914 0.000
2.260 3.914 0.000
0.000 0.000 7.071
Cu Zn Zr
4 2 2
direct
0.333 0.667 0.080 Cu
0.333 0.667 0.420 Cu
0.667 0.333 0.580 Cu
0.667 0.333 0.920 Cu
0.667 0.333 0.250 Zn
0.333 0.667 0.750 Zn
0.000 0.000 0.250 Zr
0.000 0.000 0.750 Zr

=====

ZrZnCu2, relaxed, DFT GGA-PBE; space-group type = F-43m (216)
1.0
0.000 3.111 3.111
3.111 0.000 3.111
3.111 3.111 0.000
Cu Zn Zr
2 1 1
direct
0.000 0.000 0.000 Cu
0.750 0.750 0.750 Cu
0.500 0.500 0.500 Zn
0.250 0.250 0.250 Zr

=====

Zr2Cu, relaxed, DFT GGA-PBE; space-group type = Fd-3m (227)
1.0
-3.737 -3.805 1.706
0.176 -1.938 5.251
-3.994 1.440 3.651
Cu Zr
2 4
direct
0.000 0.000 0.000 Cu
0.250 0.250 0.250 Cu
0.625 0.625 0.125 Zr
0.625 0.125 0.625 Zr
0.125 0.625 0.625 Zr
0.625 0.625 0.625 Zr

=====

Zr4Cu3, relaxed, DFT GGA-PBE; space-group type = P6_3/m (176); energy above the lowest structure with this stoichiometry = 0 meV/atom
1.0
4.062 -7.137 0.288
7.947 -0.289 -2.063
1.124 0.810 4.215
Cu Zr
6 8
direct
0.160 0.249 0.000 Cu
0.305 0.588 0.000 Cu
0.821 0.734 0.000 Cu
0.364 0.132 0.500 Cu
0.703 0.647 0.500 Cu
0.218 0.793 0.500 Cu
0.517 0.191 0.000 Zr
0.762 0.435 0.000 Zr
0.429 0.857 0.000 Zr
0.007 0.945 0.000 Zr
0.007 0.190 0.500 Zr
0.517 0.435 0.500 Zr
0.095 0.524 0.500 Zr
0.762 0.946 0.500 Zr

=====

Zr7Cu10, relaxed, DFT GGA-PBE; space-group type = Aea2 (41)
1.0
0.000 -4.659 -6.339
0.000 4.659 -6.339
9.356 0.000 0.000
Cu Zr
20 14
direct
0.112 0.704 0.008 Cu
0.404 0.996 0.009 Cu
0.449 0.658 0.101 Cu
0.889 0.928 0.205 Cu
0.178 0.219 0.205 Cu
0.678 0.719 0.295 Cu
0.389 0.428 0.295 Cu
0.949 0.158 0.399 Cu
0.904 0.496 0.491 Cu
0.612 0.204 0.492 Cu
0.204 0.612 0.508 Cu
0.496 0.904 0.509 Cu
0.158 0.949 0.601 Cu
0.428 0.389 0.705 Cu
0.719 0.678 0.705 Cu
0.219 0.178 0.795 Cu
0.928 0.889 0.795 Cu
0.658 0.449 0.899 Cu
0.996 0.404 0.991 Cu
0.704 0.112 0.992 Cu
0.054 0.054 0.000 Zr
0.364 0.364 0.000 Zr
0.743 0.743 0.000 Zr
0.746 0.363 0.195 Zr
0.038 0.570 0.250 Zr
0.538 0.070 0.250 Zr
0.246 0.863 0.305 Zr
0.243 0.243 0.500 Zr
0.554 0.554 0.500 Zr
0.864 0.864 0.500 Zr
0.863 0.246 0.695 Zr
0.070 0.538 0.750 Zr
0.570 0.038 0.750 Zr
0.363 0.746 0.805 Zr

=====

Zr2Cu, relaxed, DFT GGA-PBE; space-group type = Fd-3m (227)
1.0
-2.683 5.942 4.418
3.678 1.899 6.700
4.093 6.711 0.480
Cu Zr
2 4
direct
0.250 0.250 0.250 Cu
0.500 0.500 0.500 Cu
0.375 0.375 0.375 Zr
0.875 0.375 0.375 Zr
0.375 0.875 0.375 Zr
0.375 0.375 0.875 Zr

=====

Zr2Cu, relaxed, DFT GGA-PBE; space-group type = I4/mmm (139)
1.0
-3.225 0.000 0.000
0.000 -3.225 0.000
1.613 1.613 5.593
Cu Zr
1 2
direct
0.000 0.000 0.000 Cu
0.654 0.654 0.307 Zr
0.346 0.346 0.693 Zr

=====

For reference, formation enthalpy at 0 K by record: -0.0892; -0.1053; -0.2120; -0.1183; -0.1134; 0.0445; -0.1509; 0.6056; 0.0107; -0.1592; 2.4496; -0.1363 eV/atom.
For reference, raw total energy by record: -35.20; -17.67; -15.64; -70.88; -87.77; -34.14; -17.85; -37.99; -90.53; -199.41; -26.92; -21.22 eV/cell.